The following is a DFT calculation (GGA-PBE) of an optimized crystal structure of Y3Tm2Sc3.

```
Y3Tm2Sc3
1.0
4.791 0.000 0.000
0.000 4.904 0.000
-2.395 -2.452 9.775
Y Tm Sc
3 2 3
Cartesian
2.395 2.452 2.403
0.000 0.000 7.372
2.395 0.000 0.000
2.395 0.000 4.863
0.000 2.452 4.911
0.000 2.452 0.000
0.000 0.000 2.445
2.395 2.452 7.330
```

Summary:
Total energy = -5.86 eV per atom